Entry 1:
Material: Li4CrSi
Method: DFT, PBE-GGA
State: optimized geometry

Properties
- density (g/cm³) = 2.1
- space-group type = No. 216
- formation energy from raw total energies (eV/atom) = 0.182
- total energy (eV/atom) = -3.60

Cell lengths 4.9034, 4.9034, 4.9034 Å; angles 60.00, 60.00, 60.00 degrees
Fractional coordinates of all 6 atoms:
Li 0.8742 0.3753 0.3753
Li 0.3753 0.3753 0.8742
Li 0.3753 0.8742 0.3753
Li 0.3753 0.3753 0.3753
Cr 0.0000 0.0000 0.0000
Si 0.7500 0.7500 0.7500

***

Entry 2:
Material: Sr2HgRh
Method: DFT, PBE-GGA
State: optimized geometry

Properties
- density (g/cm³) = 6.7
- space-group type = No. 6
- energy relative to the elements (eV/f.u.) = -1.45
- total energy (eV/atom) = -3.12

Cell lengths 4.6239, 4.4530, 6.2142 Å; angles 68.94, 90.00, 90.00 degrees
Fractional coordinates of all 4 atoms:
Sr 0.0000 0.9840 0.9070
Sr 0.5000 0.2653 0.3448
Rh 0.5000 0.5571 0.7602
Hg 0.0000 0.6935 0.4881